Arrangement 1

Tl2TcIr | PBE | optimized geometry

Computed properties:
Space-group type: R-3m
Fermi-level density of states, states/eV/cell: 2.60

abc: 9.089 9.089 9.089
angles: 19.78 19.78 19.78
Fractional coordinates of all 4 atoms:
Tc 0.750 0.750 0.750
Tl 0.501 0.501 0.501
Tl 0.999 0.999 0.999
Ir 0.250 0.250 0.250

Arrangement 2

Tl2TcIr | PBE | optimized geometry

Computed properties:
Space-group type: Pm
Fermi-level density of states, states/eV/cell: 2.33

abc: 3.448 2.897 8.546
angles: 80.40 90.00 90.00
Fractional coordinates of all 4 atoms:
Tl 0.500 0.040 0.294
Tl 0.000 0.212 0.954
Ir 0.000 0.411 0.551
Tc 0.500 0.837 0.701

Arrangement 3

Tl2TcIr | PBE | optimized geometry

Computed properties:
Space-group type: C2/m
Fermi-level density of states, states/eV/cell: 3.55

abc: 5.566 5.566 3.008
angles: 74.98 74.98 112.56
Fractional coordinates of all 4 atoms:
Ir 0.500 0.000 0.500
Tl 0.000 0.000 0.000
Tl 0.500 0.500 0.000
Tc 0.000 0.500 0.500

Arrangement 4

Tl2TcIr | PBE | optimized geometry

Computed properties:
Space-group type: Cmmm
Fermi-level density of states, states/eV/cell: 2.80

abc: 3.074 3.074 9.231
angles: 90.00 90.00 118.51
Fractional coordinates of all 4 atoms:
Ir 0.500 0.500 0.250
Tl 0.000 0.000 0.002
Tl 0.000 0.000 0.498
Tc 0.500 0.500 0.750

Q: What are the energies relative to the best structure? A: arrangement 1 37.0; arrangement 2 0.0; arrangement 3 40.7; arrangement 4 41.9, in kJ/mol of atoms.